# LiTl2Ni

A geometry-optimized LiTl2Ni structure (GGA-PBEsol, Alexandria).

Geometry as POSCAR:
```
LiTl2Ni
1.0
4.492 0.000 0.000
0.000 4.492 0.000
0.000 0.000 3.447
Li Tl Ni
1 2 1
Direct
0.000 0.000 0.000 Li
0.000 0.500 0.500 Tl
0.500 0.000 0.500 Tl
0.500 0.500 0.000 Ni
```

Summary:
final energy: -3.31 eV/atom
energy of formation from the pure elements: 0.0392 eV per atom
total magnetization: 0.00 μB per formula unit
calculated density: 11.33 g/cm3